1.
VASP calculation (GGA-PBE) on an optimized crystal structure of TbErPdRh.

```
4
Lattice="4.444 0.000 0.000 0.000 1.844 5.265 0.000 -1.844 5.265" Properties=species:S:1:pos:R:3 pbc="T T T"
Tb 0.000 0.000 0.000
Er 2.222 0.000 2.923
Pd 2.222 0.000 5.851
Rh 0.000 0.000 7.705
```

- calculated total energy (eV/atom) = -6.322
- symmetry = Amm2, No. 38
- energy of formation from the pure elements (eV per atom) = -0.888
- size of the total moment (μB per formula unit) = 0.00



2.
VASP calculation (GGA-PBE) on an optimized crystal structure of BeTl2P.

```
4
Lattice="0.000 3.556 3.556 3.556 0.000 3.556 3.556 3.556 0.000" Properties=species:S:1:pos:R:3 pbc="T T T"
Be 0.000 0.000 0.000
Tl 1.778 1.778 1.778
Tl 5.334 5.334 5.334
P 3.556 3.556 3.556
```

- calculated total energy (eV/atom) = -2.728
- symmetry = Fm-3m, No. 225
- energy of formation from the pure elements (eV per atom) = 0.739
- size of the total moment (μB per formula unit) = 0.00



3.
VASP calculation (GGA-PBE) on an optimized crystal structure of PrSm3Y3.

```
14
Lattice="4.416 2.550 7.214 -4.416 2.550 7.214 0.000 -5.099 7.214" Properties=species:S:1:pos:R:3 pbc="T T T"
Pr 0.000 0.000 3.113
Pr 0.000 0.000 18.529
Sm -2.068 0.031 9.557
Sm -1.061 -1.776 12.085
Sm 1.007 -1.806 9.557
Sm -1.007 1.806 12.085
Sm 1.061 1.776 9.557
Sm 2.068 -0.031 12.085
Y -2.155 0.424 6.195
Y 0.710 -2.079 6.195
Y -1.445 -1.654 15.447
Y 1.445 1.654 6.195
Y -0.710 2.079 15.447
Y 2.155 -0.424 15.447
```

- calculated total energy (eV/atom) = -5.250
- symmetry = R-3, No. 148
- energy of formation from the pure elements (eV per atom) = 0.225
- size of the total moment (μB per formula unit) = 0.00



4.
VASP calculation (GGA-PBE) on an optimized crystal structure of HfUFe4.

```
6
Lattice="0.000 3.511 3.511 3.511 0.000 3.511 3.511 3.511 0.000" Properties=species:S:1:pos:R:3 pbc="T T T"
Hf 0.000 0.000 0.000
U 5.266 5.266 5.266
Fe 2.630 2.630 2.630
Fe 4.392 4.392 2.630
Fe 4.392 2.630 4.392
Fe 2.630 4.392 4.392
```

- calculated total energy (eV/atom) = -9.293
- symmetry = F-43m, No. 216
- energy of formation from the pure elements (eV per atom) = -0.111
- size of the total moment (μB per formula unit) = 3.96



5.
VASP calculation (GGA-PBE) on an optimized crystal structure of Na2Sr4In.

```
7
Lattice="3.010 1.738 9.797 -3.010 1.738 9.797 0.000 -3.475 9.797" Properties=species:S:1:pos:R:3 pbc="T T T"
Na 0.000 0.000 7.273
Na 0.000 0.000 22.119
Sr 0.000 0.000 3.739
Sr 0.000 0.000 11.088
Sr 0.000 0.000 18.304
Sr 0.000 0.000 25.653
In 0.000 0.000 14.696
```

- calculated total energy (eV/atom) = -1.762
- symmetry = R-3m, No. 166
- energy of formation from the pure elements (eV per atom) = -0.033
- size of the total moment (μB per formula unit) = 0.00



6.
VASP calculation (GGA-PBE) on an optimized crystal structure of UNi4W.

```
6
Lattice="0.000 3.435 3.435 3.435 0.000 3.435 3.435 3.435 0.000" Properties=species:S:1:pos:R:3 pbc="T T T"
U 0.000 0.000 0.000
Ni 2.587 2.587 2.587
Ni 4.283 4.283 2.587
Ni 4.283 2.587 4.283
Ni 2.587 4.283 4.283
W 5.152 5.152 5.152
```

- calculated total energy (eV/atom) = -7.923
- symmetry = F-43m, No. 216
- energy of formation from the pure elements (eV per atom) = -0.029
- size of the total moment (μB per formula unit) = 0.01